1.
The following is a DFT calculation (PBE-GGA) of a geometry-optimized ZrTl2Sb structure.

a b c (Å): 4.099 4.099 6.089
angles (deg): 90.00 90.00 90.00
Fractional positions:
Zr1 0.000 0.000 0.000
Tl1 0.500 0.500 0.243
Tl2 0.500 0.500 0.757
Sb1 0.000 0.000 0.500

Calculated values
Spin magnetization ... 0.0 μB/f.u.
Symmetry ... No. 123
DOS(E_F) ... 2.8 states/eV/f.u.
Raw formation energy ... 0.106 eV/atom

2.
The following is a DFT calculation (PBE-GGA) of a geometry-optimized Zr2TlSb structure.

a b c (Å): 3.231 3.231 9.816
angles (deg): 90.00 90.00 97.80
Fractional positions:
Zr1 0.000 0.000 0.000
Zr2 0.500 0.500 0.228
Tl1 0.000 0.000 0.470
Sb1 0.500 0.500 0.775

Calculated values
Spin magnetization ... 0.0 μB/f.u.
Symmetry ... No. 35
DOS(E_F) ... 4.1 states/eV/f.u.
Raw formation energy ... -0.048 eV/atom

3.
The following is a DFT calculation (PBE-GGA) of a geometry-optimized ZrTlSb structure.

a b c (Å): 8.008 8.008 8.008
angles (deg): 156.80 156.80 33.04
Fractional positions:
Zr1 0.000 0.000 0.000
Tl1 0.352 0.352 0.000
Sb1 0.642 0.642 0.000

Calculated values
Spin magnetization ... 0.0 μB/f.u.
Symmetry ... No. 107
DOS(E_F) ... 2.8 states/eV/f.u.
Raw formation energy ... -0.035 eV/atom

4.
The following is a DFT calculation (PBE-GGA) of a geometry-optimized ZrTl2Sb structure.

a b c (Å): 6.345 6.345 6.345
angles (deg): 140.24 140.12 57.58
Fractional positions:
Zr1 0.000 0.000 0.000
Tl1 0.249 0.749 0.500
Tl2 0.751 0.251 0.500
Sb1 0.500 0.500 0.000

Calculated values
Spin magnetization ... 0.0 μB/f.u.
Symmetry ... No. 71
DOS(E_F) ... 2.9 states/eV/f.u.
Raw formation energy ... 0.002 eV/atom

5.
The following is a DFT calculation (PBE-GGA) of a geometry-optimized Zr2TlSb structure.

a b c (Å): 3.342 4.216 6.657
angles (deg): 90.00 100.42 90.00
Fractional positions:
Zr1 0.039 0.000 0.254
Zr2 0.961 0.000 0.746
Tl1 0.500 0.500 0.000
Sb1 0.500 0.500 0.500

Calculated values
Spin magnetization ... 0.0 μB/f.u.
Symmetry ... No. 10
DOS(E_F) ... 2.3 states/eV/f.u.
Raw formation energy ... -0.282 eV/atom

6.
The following is a DFT calculation (PBE-GGA) of a geometry-optimized Zr2TlSb structure.

a b c (Å): 4.223 4.266 5.144
angles (deg): 90.00 90.00 90.00
Fractional positions:
Zr1 0.000 0.000 0.000
Zr2 0.000 0.500 0.500
Tl1 0.500 0.000 0.500
Sb1 0.500 0.500 0.000

Calculated values
Spin magnetization ... 0.0 μB/f.u.
Symmetry ... No. 47
DOS(E_F) ... 2.8 states/eV/f.u.
Raw formation energy ... -0.263 eV/atom

7.
The following is a DFT calculation (PBE-GGA) of a geometry-optimized Zr2TlSb structure.

a b c (Å): 3.287 5.176 5.656
angles (deg): 90.00 102.53 90.00
Fractional positions:
Zr1 0.000 0.000 0.000
Zr2 0.105 0.500 0.517
Tl1 0.571 0.000 0.496
Sb1 0.516 0.500 0.039

Calculated values
Spin magnetization ... 0.0 μB/f.u.
Symmetry ... No. 6
DOS(E_F) ... 2.8 states/eV/f.u.
Raw formation energy ... -0.223 eV/atom

8.
The following is a DFT calculation (PBE-GGA) of a geometry-optimized ZrTl2Sb structure.

a b c (Å): 6.721 6.721 6.721
angles (deg): 101.85 101.85 126.12
Fractional positions:
Zr1 0.000 0.000 0.000
Zr2 0.750 0.250 0.500
Tl1 0.119 0.625 0.994
Tl2 0.375 0.369 0.494
Tl3 0.631 0.125 0.006
Tl4 0.875 0.881 0.506
Sb1 0.250 0.750 0.500
Sb2 0.500 0.500 0.000

Calculated values
Spin magnetization ... 0.0 μB/f.u.
Symmetry ... No. 122
DOS(E_F) ... 3.7 states/eV/f.u.
Raw formation energy ... 0.214 eV/atom